(1)
Material: La6AlHg2
Method: DFT, GGA-PBE
State: optimized geometry

The structure in POSCAR format:
```
La6AlHg2
1.0
-2.2900 1.8762 2.3203
-1.1527 -7.6788 5.0716
6.8690 5.8985 2.0096
Hg La Al
2 6 1
direct
0.0000 0.6666 0.3333
0.0000 0.3333 0.6666
0.5000 0.0000 0.6126
0.5000 0.6126 0.0000
0.0000 0.7220 0.7220
0.5000 0.3874 0.3874
0.0000 0.2780 0.9999
0.0000 0.9999 0.2780
0.5000 0.0000 0.0000
```

Output
ΔH_f (0 K) ... -0.281 eV per atom
Total magnetization ... 0.00 μB/f.u.
Space group ... P-62m (189)
N(E_F) ... 10.3 states/eV per cell
E above lowest polymorph ... 0.00 eV per formula unit

=====

(2)
Material: La8AlHg2
Method: DFT, GGA-PBE
State: optimized geometry

The structure in POSCAR format:
```
La8AlHg2
1.0
4.9854 0.0000 -1.5173
-1.3163 7.6153 -4.3251
0.0786 0.0932 9.2073
La Hg Al
8 2 1
direct
0.8645 0.8645 0.7289
0.3469 0.5741 0.6937
0.1355 0.1355 0.2711
0.0000 0.6730 0.0000
0.0000 0.3270 0.0000
0.6531 0.4259 0.3063
0.3469 0.1196 0.6937
0.6531 0.8804 0.3063
0.8016 0.3016 0.6033
0.1984 0.6984 0.3967
0.5000 0.0000 0.0000
```

Output
ΔH_f (0 K) ... -0.203 eV per atom
Total magnetization ... 0.00 μB/f.u.
Space group ... Immm (71)
N(E_F) ... 12.6 states/eV per cell
E above lowest polymorph ... 0.00 eV per formula unit

=====

- Look up the ΔH_f (0 K) of the first one.
  -0.281 eV per atom